# 1
First-principles (PBE) data for a relaxed structure of Ti6ZnBi3, as listed in the Alexandria database.

The energy relative to the lowest polymorph listed for this composition is 0 meV per atom. The formation energy comes out at -0.034 eV/atom. The total energy is -6.0624 eV per atom. The crystal system is monoclinic.

It has space group P2_1/m (No. 11), with a = 9.966 Å, b = 3.912 Å, c = 11.606 Å, α = 90.00°, β = 115.06° and γ = 90.00°. Symmetry generates all atoms from Ti at (0.013, 0.250, 0.096), Ti at (0.112, 0.750, 0.572), Ti at (0.231, 0.250, 0.998), Ti at (0.381, 0.750, 0.430), Ti at (0.424, 0.250, 0.264), Ti at (0.478, 0.750, 0.105), Zn at (0.225, 0.750, 0.153), Bi at (0.046, 0.750, 0.310), Bi at (0.291, 0.750, 0.839) and Bi at (0.340, 0.250, 0.596).

=====

# 2
First-principles (PBE) data for a relaxed structure of Ta2PtAu, as listed in the Alexandria database.

The formation energy comes out at -0.141 eV/atom. The total energy is -8.3974 eV per atom. The crystal system is tetragonal.

It has space group I-4m2 (No. 119), with a = 4.045 Å, b = 4.045 Å, c = 8.457 Å, α = 90.00°, β = 90.00° and γ = 90.00°. Symmetry generates all atoms from Ta at (0.000, 0.000, 0.000), Ta at (0.000, 0.500, 0.250), Pt at (0.000, 0.000, 0.500) and Au at (0.000, 0.500, 0.750).

=====

# 3
First-principles (PBE) data for a relaxed structure of ZnIn2Si, as listed in the Alexandria database.

The energy relative to the lowest polymorph listed for this composition is 107 meV per atom. The value obtained for the energy relative to the elements, uncorrected is 287 meV/atom. The total energy is -2.7564 eV per atom. The crystal system is orthorhombic.

It has space group Cmmm (No. 65), with a = 4.313 Å, b = 4.717 Å, c = 8.351 Å, α = 90.00°, β = 90.00° and γ = 90.00°. Symmetry generates all atoms from Zn at (0.000, 0.000, 0.000), In at (0.000, 0.500, 0.251) and Si at (0.000, 0.000, 0.500).

=====

# 4
First-principles (PBE) data for a relaxed structure of TlNi2Au2, as listed in the Alexandria database.

The energy relative to the lowest polymorph listed for this composition is 0 meV per atom. The formation energy comes out at 0.140 eV/atom. The total energy is -3.9571 eV per atom. The crystal system is tetragonal.

It has space group P4/mbm (No. 127), with a = 6.750 Å, b = 6.750 Å, c = 3.690 Å, α = 90.00°, β = 90.00° and γ = 90.00°. Symmetry generates all atoms from Tl at (0.000, 0.000, 0.000), Ni at (0.129, 0.371, 0.000) and Au at (0.160, 0.660, 0.500).

=====

# 5
First-principles (PBE) data for a relaxed structure of Pr4Er2Sc, as listed in the Alexandria database.

The energy relative to the lowest polymorph listed for this composition is 0 meV per atom. The formation energy comes out at 0.035 eV/atom. The total energy is -4.9040 eV per atom. The crystal system is monoclinic.

It has space group C2/c (No. 15), with a = 6.208 Å, b = 25.094 Å, c = 6.219 Å, α = 90.00°, β = 109.10° and γ = 90.00°. Symmetry generates all atoms from Pr at (0.000, 0.036, 0.250), Pr at (0.000, 0.248, 0.750), Pr at (0.000, 0.322, 0.250), Pr at (0.000, 0.462, 0.250), Er at (0.000, 0.176, 0.250), Er at (0.000, 0.392, 0.750) and Sc at (0.000, 0.108, 0.750).

=====

# 6
First-principles (PBE) data for a relaxed structure of CrCoRe2, as listed in the Alexandria database.

The energy relative to the lowest polymorph listed for this composition is 110 meV per atom. The formation energy comes out at 0.156 eV/atom. The total energy is -10.2501 eV per atom. The crystal system is cubic.

It has space group F-43m (No. 216), with a = 6.020 Å, b = 6.020 Å, c = 6.020 Å, α = 90.00°, β = 90.00° and γ = 90.00°. Symmetry generates all atoms from Cr at (0.000, 0.000, 0.000), Co at (0.250, 0.250, 0.750), Re at (0.000, 0.000, 0.500) and Re at (0.250, 0.250, 0.250).

=====

# 7
First-principles (PBE) data for a relaxed structure of FeAg2Se, as listed in the Alexandria database.

The value obtained for the energy relative to the elements, uncorrected is 156 meV/atom. The total energy is -4.2564 eV per atom. The crystal system is tetragonal.

It has space group P4mm (No. 99), with a = 3.114 Å, b = 3.114 Å, c = 6.991 Å, α = 90.00°, β = 90.00° and γ = 90.00°. Symmetry generates all atoms from Fe at (0.000, 0.000, 0.000), Ag at (0.000, 0.000, 0.533), Ag at (0.500, 0.500, 0.268) and Se at (0.500, 0.500, 0.855).

=====

# 8
First-principles (PBE) data for a relaxed structure of CaCe2ThAs4, as listed in the Alexandria database.

The formation energy comes out at -1.378 eV/atom. The total energy is -6.3642 eV per atom. The crystal system is monoclinic.

It has space group P2/m (No. 10), with a = 7.334 Å, b = 4.249 Å, c = 7.348 Å, α = 90.00°, β = 109.46° and γ = 90.00°. Symmetry generates all atoms from Ca at (0.000, 0.000, 0.000), Ce at (0.000, 0.500, 0.500), Ce at (0.500, 0.000, 0.500), Th at (0.500, 0.500, 0.000), As at (0.251, 0.000, 0.748) and As at (0.256, 0.500, 0.256).

=====

Number 1: density of states at the Fermi level 1.261 states/eV per atom. Number 2: density of states at the Fermi level 1.317 states/eV per atom. Number 3: density of states at the Fermi level 0.287 states/eV per atom. Number 4: density of states at the Fermi level 0.650 states/eV per atom. Number 5: density of states at the Fermi level 1.419 states/eV per atom. Number 6: density of states at the Fermi level 0.966 states/eV per atom. Number 7: density of states at the Fermi level 0.900 states/eV per atom. Number 8: density of states at the Fermi level 1.372 states/eV per atom.